1.
Here is a relaxed structure of NbAsSe2S from the Alexandria database. Energies are from PBE.

Calculated values
Symmetry = No. 123
Energy relative to the lowest polymorph listed for this composition = 352.4 meV per atom
Raw total energy = -4.43 eV/atom
Energy relative to the elements, uncorrected = 3.65 eV per formula unit
Size of the total moment = 1.82 Bohr magnetons per cell
Mass density = 5.60 Mg/m³

a b c (Å): 4.7168 4.7168 4.7688
angles (deg): 90.00 90.00 90.00
With the nearest neighbours (Å) after each atom.
Positions (direct):
S  0.0000  0.0000  0.0000  4 Se 2.36, 2 As 2.38
Nb  0.5000  0.5000  0.5000  4 As 3.34, 8 Se 3.35
As  0.0000  0.0000  0.5000  2 S 2.38
Se  0.0000  0.5000  0.0000  2 S 2.36
Se  0.5000  0.0000  0.0000  2 S 2.36



2.
Here is a relaxed structure of PmYHo2Se6 from the Alexandria database. Energies are from PBE.

Calculated values
Symmetry = No. 146
Raw total energy = -5.98 eV/atom
Energy relative to the elements, uncorrected = -18.51 eV per formula unit
Size of the total moment = 0.00 Bohr magnetons per cell
Mass density = 5.83 Mg/m³

a b c (Å): 7.2475 7.2475 7.7258
angles (deg): 62.02 62.03 60.00
With the nearest neighbours (Å) after each atom.
Positions (direct):
Pm  0.8142  0.8142  0.5573  6 Se 2.91-3.00
Y  0.3177  0.3177  0.0468  6 Se 2.86-2.91
Ho  0.5146  0.5145  0.4564  6 Se 2.84-2.89
Ho  0.0123  0.0123  0.9632  6 Se 2.83-2.89
Se  0.6130  0.2268  0.2479  2 Ho 2.84-2.89, 1 Y 2.86, 1 Pm 3.00
Se  0.2267  0.9123  0.2479  2 Ho 2.84-2.89, 1 Y 2.86, 1 Pm 3.00
Se  0.9124  0.6131  0.2479  2 Ho 2.84-2.89, 1 Y 2.86, 1 Pm 3.00
Se  0.4011  0.7253  0.7492  2 Ho 2.83-2.89, 1 Pm 2.91, 1 Y 2.91
Se  0.7253  0.1243  0.7493  2 Ho 2.83-2.89, 1 Pm 2.91, 1 Y 2.91
Se  0.1243  0.4012  0.7493  2 Ho 2.83-2.89, 1 Pm 2.91, 1 Y 2.91



3.
Here is a relaxed structure of LaCdIn from the Alexandria database. Energies are from PBE.

Calculated values
Symmetry = No. 107
Raw total energy = -3.18 eV/atom
Calculated formation energy = -0.323 eV/atom
Size of the total moment = 0.00 Bohr magnetons per cell
Mass density = 7.30 Mg/m³

a b c (Å): 6.8354 6.8354 3.6262
angles (deg): 74.62 74.62 30.76
With the nearest neighbours (Å) after each atom.
Positions (direct):
Cd  0.9884  0.9884  0.0116  4 In 3.13, 4 La 3.40
In  0.3467  0.3467  0.6533  4 Cd 3.13, 4 La 3.45
La  0.6649  0.6649  0.3351  4 Cd 3.40, 4 In 3.45, 4 La 3.63



4.
Here is a relaxed structure of NaPm2Cu2O6 from the Alexandria database. Energies are from PBE.

Calculated values
Symmetry = No. 166
Raw total energy = -6.00 eV/atom
Energy relative to the elements, uncorrected = -17.21 eV per formula unit
Size of the total moment = 2.16 Bohr magnetons per cell
Mass density = 5.32 Mg/m³

a b c (Å): 5.7076 5.7076 6.7871
angles (deg): 65.14 65.14 60.00
With the nearest neighbours (Å) after each atom.
Positions (direct):
Na  0.0000  0.0000  0.0000  6 O 2.34
Pm  0.8014  0.8014  0.5959  3 O 2.29
Pm  0.1986  0.1986  0.4041  3 O 2.29
Cu  0.4257  0.4257  0.7229  3 O 1.81
Cu  0.5743  0.5743  0.2771  3 O 1.81
O  0.7482  0.7482  0.3031  1 Cu 1.81
O  0.2006  0.7482  0.3031  1 Cu 1.81
O  0.7482  0.2006  0.3031  1 Cu 1.81
O  0.2518  0.7994  0.6969  1 Cu 1.81
O  0.7994  0.2518  0.6969  1 Cu 1.81
O  0.2518  0.2518  0.6969  1 Cu 1.81



5.
Here is a relaxed structure of KInMo2 from the Alexandria database. Energies are from PBE.

Calculated values
Symmetry = No. 65
Raw total energy = -5.40 eV/atom
Calculated formation energy = 0.979 eV/atom
Size of the total moment = 0.00 Bohr magnetons per cell
Mass density = 6.90 Mg/m³

a b c (Å): 2.8144 2.8144 10.7994
angles (deg): 90.00 90.00 103.44
With the nearest neighbours (Å) after each atom.
Positions (direct):
In  0.5000  0.5000  0.2500  4 In 2.81, 4 Mo 2.89
K  0.5000  0.5000  0.7500  4 K 2.81
Mo  0.0000  0.0000  0.0363  4 Mo 2.81, 2 In 2.89
Mo  0.0000  0.0000  0.4637  4 Mo 2.81, 2 In 2.89



6.
Here is a relaxed structure of CeCoSb from the Alexandria database. Energies are from PBE.

Calculated values
Symmetry = No. 107
Raw total energy = -5.89 eV/atom
Energy relative to the elements, uncorrected = -0.50 eV per formula unit
Size of the total moment = 0.00 Bohr magnetons per cell
Mass density = 6.88 Mg/m³

a b c (Å): 4.5210 4.5210 4.9579
angles (deg): 117.13 117.13 90.00
With the nearest neighbours (Å) after each atom.
Positions (direct):
Sb  0.9243  0.9243  0.8486  1 Co 2.48
Co  0.5966  0.5966  0.1933  1 Ce 2.03
Ce  0.3290  0.3290  0.6581  1 Co 2.03



7.
Here is a relaxed structure of Ac3Cd5Ag6 from the Alexandria database. Energies are from PBE.

Calculated values
Symmetry = No. 71
Raw total energy = -2.69 eV/atom
Calculated formation energy = -0.260 eV/atom
Size of the total moment = 0.00 Bohr magnetons per cell
Mass density = 8.93 Mg/m³

a b c (Å): 4.8370 9.1140 9.1140
angles (deg): 67.40 74.61 74.61
With the nearest neighbours (Å) after each atom.
Positions (direct):
Ac  0.0000  0.0000  0.0000  4 Ag 3.34
Ac  0.6875  0.3125  0.3125  6 Ag 3.41-3.43, 8 Cd 3.46-3.62
Ac  0.3125  0.6875  0.6875  6 Ag 3.41-3.43, 8 Cd 3.46-3.62
Cd  0.6736  0.6810  0.9719  4 Ag 2.86-3.01, 1 Cd 2.94
Cd  0.3264  0.3190  0.0281  4 Ag 2.86-3.01, 1 Cd 2.94
Cd  0.6736  0.9719  0.6810  4 Ag 2.86-3.01, 1 Cd 2.94
Cd  0.3264  0.0281  0.3190  4 Ag 2.86-3.01, 1 Cd 2.94
Cd  0.0000  0.5000  0.5000  4 Ag 2.85
Ag  0.5000  0.7103  0.2897  4 Cd 2.89-3.22, 4 Ag 3.00
Ag  0.5000  0.2897  0.7103  4 Cd 2.89-3.22, 4 Ag 3.00
Ag  0.8761  0.4036  0.8442  4 Cd 2.85-3.01, 2 Ag 3.00
Ag  0.1239  0.5964  0.1558  4 Cd 2.85-3.01, 2 Ag 3.00
Ag  0.8761  0.8442  0.4036  4 Cd 2.85-3.01, 2 Ag 3.00
Ag  0.1239  0.1558  0.5964  4 Cd 2.85-3.01, 2 Ag 3.00



8.
Here is a relaxed structure of ThGaBi from the Alexandria database. Energies are from PBE.

Calculated values
Symmetry = No. 156
Energy relative to the lowest polymorph listed for this composition = 62.7 meV per atom
Raw total energy = -5.01 eV/atom
Calculated formation energy = -0.235 eV/atom
Size of the total moment = 0.00 Bohr magnetons per cell
Mass density = 10.15 Mg/m³

a b c (Å): 3.9282 4.9572 4.9572
angles (deg): 120.00 90.00 90.00
With the nearest neighbours (Å) after each atom.
Positions (direct):
Ga  0.8354  0.0000  0.0000  3 Bi 2.86
Bi  0.8321  0.6667  0.3333  3 Ga 2.86
Th  0.3325  0.3333  0.6667  6 Ga 3.46-3.48, 6 Bi 3.47